# 1
Crystalline Ho4IrSe3 at its relaxed geometry. Source: Alexandria via LeMat-Bulk, functional PBE.

Geometry as POSCAR:
```
Ho4IrSe3
1.0
5.691 0.000 0.000
0.000 9.430 0.000
0.000 0.000 8.696
Ho Ir Se
8 2 6
Cartesian
1.423 0.225 1.591 Ho
1.423 2.358 5.852 Ho
1.423 4.490 1.591 Ho
1.423 7.073 5.590 Ho
4.268 2.358 3.106 Ho
4.268 4.941 7.105 Ho
4.268 7.073 2.844 Ho
4.268 9.205 7.105 Ho
1.423 2.358 3.172 Ir
4.268 7.073 5.524 Ir
1.423 4.754 7.399 Se
1.423 7.073 2.703 Se
1.423 9.391 7.399 Se
4.268 0.039 1.297 Se
4.268 2.358 5.993 Se
4.268 4.676 1.297 Se
```

Summary:
**E above lowest polymorph**: 0.2488 eV/atom
**Total DFT energy (no corrections)**: -95.524 eV per cell
**Calculated volume**: 29.2 Å³ per atom
**ρ**: 7.75 Mg/m³

# 2
Crystalline ScTe2Ir at its relaxed geometry. Source: Alexandria via LeMat-Bulk, functional PBE.

Geometry as POSCAR:
```
ScTe2Ir
1.0
3.643 -2.103 0.000
3.643 2.103 0.000
-2.415 0.000 6.050
Sc Te Ir
1 2 1
Cartesian
0.000 0.000 0.000 Sc
0.013 0.000 4.372 Te
4.857 0.000 1.679 Te
2.435 0.000 3.025 Ir
```

Summary:
**E above lowest polymorph**: 0.3891 eV/atom
**Total DFT energy (no corrections)**: -22.653 eV per cell
**Calculated volume**: 23.2 Å³ per atom
**ρ**: 8.82 Mg/m³

# 3
Crystalline Sr8Al2In at its relaxed geometry. Source: Alexandria via LeMat-Bulk, functional PBE.

Geometry as POSCAR:
```
Sr8Al2In
1.0
-2.813 4.584 8.413
2.813 -4.584 8.413
2.813 4.584 -8.413
Sr Al In
8 2 1
Cartesian
2.813 2.582 -2.710 Sr
0.000 0.000 2.430 Sr
0.000 2.835 0.000 Sr
2.813 2.582 2.710 Sr
0.000 2.001 5.703 Sr
0.000 6.332 0.000 Sr
0.000 0.000 14.397 Sr
0.000 2.001 11.123 Sr
2.813 0.000 5.270 Al
0.000 4.584 3.143 Al
2.813 0.000 0.000 In
```

Summary:
**Formation energy**: -0.084 eV/atom
**Total DFT energy (no corrections)**: -24.605 eV per cell
**Calculated volume**: 39.4 Å³ per atom
**ρ**: 3.33 Mg/m³

# 4
Crystalline Mg3InBr at its relaxed geometry. Source: Alexandria via LeMat-Bulk, functional PBE.

Geometry as POSCAR:
```
Mg3InBr
1.0
5.404 0.000 0.000
0.000 5.404 0.000
0.000 0.000 5.404
Mg In Br
3 1 1
Cartesian
0.000 0.000 2.702 Mg
0.000 2.702 0.000 Mg
2.702 0.000 0.000 Mg
0.000 0.000 0.000 In
2.702 2.702 2.702 Br
```

Summary:
**E above lowest polymorph**: 0.0000 eV/atom
**Total DFT energy (no corrections)**: -9.709 eV per cell
**Calculated volume**: 31.6 Å³ per atom
**ρ**: 2.82 Mg/m³

# 5
Crystalline LaY2FeBi at its relaxed geometry. Source: Alexandria via LeMat-Bulk, functional PBE.

Geometry as POSCAR:
```
LaY2FeBi
1.0
5.303 0.000 0.000
0.000 5.303 0.000
0.000 0.000 4.967
La Y Fe Bi
1 2 1 1
Cartesian
0.000 0.000 0.000 La
0.000 2.651 2.484 Y
2.651 0.000 2.484 Y
0.000 0.000 2.484 Fe
2.651 2.651 0.000 Bi
```

Summary:
**Formation energy**: -0.301 eV/atom
**Total DFT energy (no corrections)**: -31.706 eV per cell
**Calculated volume**: 27.9 Å³ per atom
**ρ**: 6.91 Mg/m³

# 6
Crystalline MnInBr2 at its relaxed geometry. Source: Alexandria via LeMat-Bulk, functional PBE.

Geometry as POSCAR:
```
MnInBr2
1.0
-1.800 3.073 4.918
1.800 -3.073 4.918
1.800 3.073 -4.918
Mn In Br
1 1 2
Cartesian
0.000 0.000 0.000 Mn
1.800 0.000 2.252 In
0.000 0.000 4.788 Br
0.000 3.073 3.083 Br
```

Summary:
**E above lowest polymorph**: 0.2442 eV/atom
**Total DFT energy (no corrections)**: -15.919 eV per cell
**Calculated volume**: 27.2 Å³ per atom
**ρ**: 5.03 Mg/m³

# 7
Crystalline RbHoMgSe3 at its relaxed geometry. Source: Alexandria via LeMat-Bulk, functional PBE.

Geometry as POSCAR:
```
RbHoMgSe3
1.0
4.244 0.000 0.000
0.000 11.146 0.000
-2.119 0.000 7.808
Rb Ho Mg Se
2 2 2 6
Cartesian
0.002 2.787 3.803 Rb
2.123 8.360 4.004 Rb
2.122 0.000 0.000 Ho
2.122 5.573 0.000 Ho
-0.003 8.360 0.553 Mg
2.128 2.787 7.255 Mg
0.000 6.186 1.864 Se
0.000 10.534 1.864 Se
0.001 8.360 6.855 Se
2.124 2.787 0.953 Se
2.125 0.613 5.944 Se
2.125 4.961 5.944 Se
```

Summary:
**Total DFT energy (no corrections)**: -53.909 eV per cell
**Calculated volume**: 30.8 Å³ per atom
**ρ**: 4.60 Mg/m³

# 8
Crystalline Ho4Te2Pb at its relaxed geometry. Source: Alexandria via LeMat-Bulk, functional PBE.

Geometry as POSCAR:
```
Ho4Te2Pb
1.0
-4.787 4.787 4.684
4.787 -4.787 4.684
4.787 4.787 -4.684
Ho Te Pb
8 4 2
Cartesian
6.620 -0.458 0.571 Ho
2.954 0.458 0.571 Ho
4.330 2.954 -1.771 Ho
5.245 -1.833 4.114 Ho
0.458 1.833 2.913 Ho
4.330 1.833 4.114 Ho
2.954 4.330 1.771 Ho
1.833 0.458 6.456 Ho
2.394 -0.435 3.513 Te
5.222 2.394 1.171 Te
2.394 5.222 -1.171 Te
-0.435 2.394 5.855 Te
0.000 0.000 0.000 Pb
0.000 4.787 2.342 Pb
```

Summary:
**Total DFT energy (no corrections)**: -68.016 eV per cell
**Calculated volume**: 30.7 Å³ per atom
**ρ**: 8.68 Mg/m³